No. 1
# SrSc2F, optimized geometry, DFT PBE-GGA
# Size of the total moment in μB/f.u.: 0.0
# Polymorph energy (0 for the lowest one) in eV per atom: 0.000
# Raw formation energy in eV per atom: -0.98
data_SrSc2F
_cell_length_a 6.930
_cell_length_b 6.930
_cell_length_c 9.403
_cell_angle_alpha 90.00
_cell_angle_beta 90.00
_cell_angle_gamma 90.00
_symmetry_space_group_name_H-M 'I -4 2 d'
_symmetry_Int_Tables_number 122
_symmetry_space_group_name_Hall 'I -4 2bw'
loop_
_atom_site_label
_atom_site_fract_x
_atom_site_fract_y
_atom_site_fract_z
_atom_site_occupancy
Sr1 0.000 0.000 0.000 1
Sc1 0.053 0.250 0.625 1
F1 0.000 0.000 0.500 1



No. 2
# SrSc2F, optimized geometry, DFT PBE-GGA
# Size of the total moment in μB/f.u.: 2.6
# Polymorph energy (0 for the lowest one) in eV per atom: 1.169
# Raw formation energy in eV per atom: 0.19
data_SrSc2F
_cell_length_a 7.646
_cell_length_b 7.646
_cell_length_c 7.646
_cell_angle_alpha 90.00
_cell_angle_beta 90.00
_cell_angle_gamma 90.00
_symmetry_space_group_name_H-M 'F m -3 m'
_symmetry_Int_Tables_number 225
_symmetry_space_group_name_Hall '-F 4 2 3'
loop_
_atom_site_label
_atom_site_fract_x
_atom_site_fract_y
_atom_site_fract_z
_atom_site_occupancy
Sr1 0.000 0.000 0.000 1
Sc1 0.250 0.250 0.250 1
F1 0.000 0.000 0.500 1



No. 3
# SrScF5, optimized geometry, DFT PBE-GGA
# Size of the total moment in μB/f.u.: 0.0
# Raw formation energy in eV per atom: -3.95
data_SrScF5
_cell_length_a 4.110
_cell_length_b 7.030
_cell_length_c 8.730
_cell_angle_alpha 90.00
_cell_angle_beta 90.00
_cell_angle_gamma 90.00
_symmetry_space_group_name_H-M 'I m m m'
_symmetry_Int_Tables_number 71
_symmetry_space_group_name_Hall '-I 2 2'
loop_
_atom_site_label
_atom_site_fract_x
_atom_site_fract_y
_atom_site_fract_z
_atom_site_occupancy
Sr1 0.000 0.000 0.000 1
Sc1 0.000 0.000 0.500 1
F1 0.000 0.000 0.272 1
F2 0.000 0.293 0.500 1
F3 0.000 0.500 0.000 1



No. 4
# SrSc3F, optimized geometry, DFT PBE-GGA
# Size of the total moment in μB/f.u.: 0.0
# Polymorph energy (0 for the lowest one) in eV per atom: 1.791
# Raw formation energy in eV per atom: 1.22
data_SrSc3F
_cell_length_a 5.427
_cell_length_b 5.427
_cell_length_c 5.427
_cell_angle_alpha 90.00
_cell_angle_beta 90.00
_cell_angle_gamma 90.00
_symmetry_space_group_name_H-M 'P m -3 m'
_symmetry_Int_Tables_number 221
_symmetry_space_group_name_Hall '-P 4 2 3'
loop_
_atom_site_label
_atom_site_fract_x
_atom_site_fract_y
_atom_site_fract_z
_atom_site_occupancy
Sr1 0.000 0.000 0.000 1
Sc1 0.000 0.000 0.500 1
F1 0.500 0.500 0.500 1



Question: Look up the raw formation energy of the first one.
Answer: -0.98 eV per atom



Question: Number 1 is which compound?
Answer: SrSc2F